! Ca2Si PBE optimized geometry; values from VASP
! Final energy, eV/f.u.: -10.81
! Raw formation energy, meV per atom: -462
&SYSTEM
  ibrav = 0, nat = 12, ntyp = 2
/
ATOMIC_SPECIES
Ca 40.08 Ca.upf
Si 28.09 Si.upf
CELL_PARAMETERS angstrom
-3.981 0.995 2.537
-0.564 -7.312 1.982
5.057 1.592 7.312
ATOMIC_POSITIONS crystal
Ca 0.250 0.020 0.822
Ca 0.750 0.480 0.322
Ca 0.250 0.520 0.678
Ca 0.750 0.980 0.178
Ca 0.250 0.155 0.426
Ca 0.750 0.345 0.926
Ca 0.250 0.655 0.074
Ca 0.750 0.845 0.574
Si 0.250 0.752 0.395
Si 0.750 0.748 0.895
Si 0.250 0.252 0.105
Si 0.750 0.248 0.605

=====

! Ca2Si PBE optimized geometry; values from VASP
! Final energy, eV/f.u.: -9.98
! Raw formation energy, meV per atom: -186
&SYSTEM
  ibrav = 0, nat = 3, ntyp = 2
/
ATOMIC_SPECIES
Ca 40.08 Ca.upf
Si 28.09 Si.upf
CELL_PARAMETERS angstrom
-1.513 -4.581 0.247
4.478 1.143 1.405
-1.474 0.709 4.122
ATOMIC_POSITIONS crystal
Ca 0.667 0.333 0.249
Ca 0.333 0.667 0.751
Si 0.000 0.000 0.000

=====

! CaSi3 PBE optimized geometry; values from VASP
! Final energy, eV/f.u.: -18.58
! Raw formation energy, meV per atom: -77
&SYSTEM
  ibrav = 0, nat = 8, ntyp = 2
/
ATOMIC_SPECIES
Ca 40.08 Ca.upf
Si 28.09 Si.upf
CELL_PARAMETERS angstrom
-0.537 -3.472 3.078
-2.642 -3.123 -3.984
5.060 -2.217 -1.618
ATOMIC_POSITIONS crystal
Ca 0.000 0.608 0.000
Ca 0.500 0.392 0.500
Si 0.500 0.203 0.000
Si 0.000 0.797 0.500
Si 0.000 0.118 0.218
Si 0.000 0.118 0.782
Si 0.500 0.882 0.718
Si 0.500 0.882 0.282

=====

! Ca2Si PBE optimized geometry; values from VASP
! Final energy, eV/f.u.: -7.57
! Raw formation energy, meV per atom: 617
&SYSTEM
  ibrav = 0, nat = 6, ntyp = 2
/
ATOMIC_SPECIES
Ca 40.08 Ca.upf
Si 28.09 Si.upf
CELL_PARAMETERS angstrom
0.000 4.415 4.415
4.415 0.000 4.415
4.415 4.415 0.000
ATOMIC_POSITIONS crystal
Ca 0.625 0.125 0.125
Ca 0.125 0.625 0.125
Ca 0.125 0.125 0.625
Ca 0.125 0.125 0.125
Si 0.500 0.500 0.500
Si 0.750 0.750 0.750

=====

! CaSi6 PBE optimized geometry; values from VASP
! Final energy, eV/f.u.: -34.18
! Raw formation energy, meV per atom: 51
&SYSTEM
  ibrav = 0, nat = 7, ntyp = 2
/
ATOMIC_SPECIES
Ca 40.08 Ca.upf
Si 28.09 Si.upf
CELL_PARAMETERS angstrom
-2.583 3.404 3.937
-3.516 -4.429 -1.336
4.971 -2.065 2.188
ATOMIC_POSITIONS crystal
Ca 0.000 0.000 0.000
Si 0.250 0.750 0.500
Si 0.500 0.750 0.250
Si 0.250 0.500 0.750
Si 0.750 0.250 0.500
Si 0.500 0.250 0.750
Si 0.750 0.500 0.250

=====

! CaSi3 PBE optimized geometry; values from VASP
! Final energy, eV/f.u.: -18.36
! Raw formation energy, meV per atom: -23
&SYSTEM
  ibrav = 0, nat = 4, ntyp = 2
/
ATOMIC_SPECIES
Ca 40.08 Ca.upf
Si 28.09 Si.upf
CELL_PARAMETERS angstrom
-3.126 -1.139 0.917
1.067 -3.256 -0.409
1.811 -0.158 5.974
ATOMIC_POSITIONS crystal
Ca 0.000 0.000 0.000
Si 0.500 0.500 0.687
Si 0.000 0.000 0.500
Si 0.500 0.500 0.313

=====

! Ca5Si2 PBE optimized geometry; values from VASP
! Final energy, eV/f.u.: -22.83
! Raw formation energy, meV per atom: -282
&SYSTEM
  ibrav = 0, nat = 14, ntyp = 2
/
ATOMIC_SPECIES
Ca 40.08 Ca.upf
Si 28.09 Si.upf
CELL_PARAMETERS angstrom
6.262 0.000 -2.658
-1.370 6.780 -3.228
0.200 0.112 9.175
ATOMIC_POSITIONS crystal
Ca 0.081 0.228 0.162
Ca 0.919 0.772 0.838
Ca 0.581 0.934 0.162
Ca 0.419 0.066 0.838
Ca 0.482 0.732 0.465
Ca 0.018 0.268 0.535
Ca 0.518 0.268 0.535
Ca 0.982 0.732 0.465
Ca 0.750 0.500 0.000
Ca 0.250 0.500 0.000
Si 0.379 0.639 0.758
Si 0.621 0.361 0.242
Si 0.879 0.119 0.758
Si 0.121 0.881 0.242

=====

! CaSi3 PBE optimized geometry; values from VASP
! Final energy, eV/f.u.: -18.28
! Raw formation energy, meV per atom: -2
&SYSTEM
  ibrav = 0, nat = 4, ntyp = 2
/
ATOMIC_SPECIES
Ca 40.08 Ca.upf
Si 28.09 Si.upf
CELL_PARAMETERS angstrom
4.638 0.000 0.000
0.000 2.895 0.001
0.000 -0.002 5.309
ATOMIC_POSITIONS crystal
Ca 0.000 0.000 0.000
Si 0.500 0.500 0.732
Si 0.000 0.500 0.500
Si 0.500 0.500 0.268

=====

! CaSi3 PBE optimized geometry; values from VASP
! Final energy, eV/f.u.: -18.70
! Raw formation energy, meV per atom: -109
&SYSTEM
  ibrav = 0, nat = 4, ntyp = 2
/
ATOMIC_SPECIES
Ca 40.08 Ca.upf
Si 28.09 Si.upf
CELL_PARAMETERS angstrom
3.892 0.000 0.000
0.000 3.898 0.000
0.000 0.000 5.243
ATOMIC_POSITIONS crystal
Ca 0.000 0.000 0.998
Si 0.500 0.000 0.459
Si 0.500 0.500 0.752
Si 0.000 0.500 0.458

=====

! Ca2Si3 PBE optimized geometry; values from VASP
! Final energy, eV/f.u.: -22.36
! Raw formation energy, meV per atom: -417
! Energy relative to the lowest polymorph listed for this composition, eV per atom: 0.000
&SYSTEM
  ibrav = 0, nat = 10, ntyp = 2
/
ATOMIC_SPECIES
Ca 40.08 Ca.upf
Si 28.09 Si.upf
CELL_PARAMETERS angstrom
-3.173 -3.114 -0.400
0.713 -0.231 -3.854
10.070 -7.356 2.304
ATOMIC_POSITIONS crystal
Ca 0.297 0.750 0.595
Ca 0.703 0.250 0.405
Ca 0.572 0.750 0.144
Ca 0.428 0.250 0.856
Si 0.174 0.750 0.348
Si 0.826 0.250 0.652
Si 0.881 0.750 0.762
Si 0.119 0.250 0.238
Si 0.025 0.250 0.049
Si 0.975 0.750 0.951

=====

! Ca6Si7 PBE optimized geometry; values from VASP
! Final energy, eV/f.u.: -52.03
! Raw formation energy, meV per atom: -158
&SYSTEM
  ibrav = 0, nat = 13, ntyp = 2
/
ATOMIC_SPECIES
Ca 40.08 Ca.upf
Si 28.09 Si.upf
CELL_PARAMETERS angstrom
10.798 -0.065 -0.039
9.343 5.413 -0.039
9.343 2.481 4.812
ATOMIC_POSITIONS crystal
Ca 0.055 0.055 0.055
Ca 0.945 0.945 0.945
Ca 0.154 0.154 0.154
Ca 0.846 0.846 0.846
Ca 0.341 0.341 0.341
Ca 0.659 0.659 0.659
Si 0.614 0.052 0.614
Si 0.614 0.614 0.052
Si 0.052 0.614 0.614
Si 0.386 0.948 0.386
Si 0.948 0.386 0.386
Si 0.386 0.386 0.948
Si 0.500 0.500 0.500

=====

! CaSm2Si6 PBE optimized geometry; values from VASP
! Final energy, eV/f.u.: -48.23
! Raw formation energy, meV per atom: -473
&SYSTEM
  ibrav = 0, nat = 9, ntyp = 3
/
ATOMIC_SPECIES
Ca 40.08 Ca.upf
Sm 150.36 Sm.upf
Si 28.09 Si.upf
CELL_PARAMETERS angstrom
4.135 0.000 0.000
0.000 6.161 -3.557
0.000 0.000 7.114
ATOMIC_POSITIONS crystal
Ca 0.000 0.000 0.000
Sm 0.000 0.333 0.667
Sm 0.000 0.667 0.333
Si 0.500 0.334 0.334
Si 0.500 0.666 0.666
Si 0.500 0.000 0.666
Si 0.500 0.666 0.000
Si 0.500 0.334 0.000
Si 0.500 0.000 0.334

=====

! Ca2SmSi6 PBE optimized geometry; values from VASP
! Final energy, eV/f.u.: -44.69
! Raw formation energy, meV per atom: -381
&SYSTEM
  ibrav = 0, nat = 9, ntyp = 3
/
ATOMIC_SPECIES
Ca 40.08 Ca.upf
Sm 150.36 Sm.upf
Si 28.09 Si.upf
CELL_PARAMETERS angstrom
4.216 0.000 0.000
0.000 6.129 -3.539
0.000 0.000 7.078
ATOMIC_POSITIONS crystal
Ca 0.000 0.333 0.667
Ca 0.000 0.667 0.333
Sm 0.000 0.000 0.000
Si 0.500 0.333 0.333
Si 0.500 0.667 0.667
Si 0.500 0.000 0.667
Si 0.500 0.667 0.000
Si 0.500 0.333 0.000
Si 0.500 0.000 0.333

=====

! CaSmSi2 PBE optimized geometry; values from VASP
! Final energy, eV/f.u.: -20.14
! Raw formation energy, meV per atom: -643
&SYSTEM
  ibrav = 0, nat = 8, ntyp = 3
/
ATOMIC_SPECIES
Ca 40.08 Ca.upf
Sm 150.36 Sm.upf
Si 28.09 Si.upf
CELL_PARAMETERS angstrom
3.878 0.000 0.000
0.000 5.825 0.000
0.000 0.000 8.238
ATOMIC_POSITIONS crystal
Ca 0.500 0.362 0.321
Ca 0.500 0.638 0.821
Sm 0.000 0.141 0.680
Sm 0.000 0.859 0.180
Si 0.000 0.635 0.535
Si 0.000 0.365 0.035
Si 0.500 0.877 0.464
Si 0.500 0.123 0.964

=====

! CaSmSi4 PBE optimized geometry; values from VASP
! Final energy, eV/f.u.: -30.03
! Raw formation energy, meV per atom: -269
&SYSTEM
  ibrav = 0, nat = 6, ntyp = 3
/
ATOMIC_SPECIES
Ca 40.08 Ca.upf
Si 28.09 Si.upf
Sm 150.36 Sm.upf
CELL_PARAMETERS angstrom
-0.536 -5.021 -1.897
4.367 -2.816 -1.448
1.614 -4.196 2.981
ATOMIC_POSITIONS crystal
Ca 0.000 0.000 0.000
Si 0.625 0.625 0.124
Si 0.625 0.124 0.625
Si 0.625 0.625 0.625
Si 0.124 0.625 0.625
Sm 0.250 0.250 0.250

=====

! CaSm2Si2 PBE optimized geometry; values from VASP
! Final energy, eV/f.u.: -25.54
! Raw formation energy, meV per atom: -652
&SYSTEM
  ibrav = 0, nat = 10, ntyp = 3
/
ATOMIC_SPECIES
Ca 40.08 Ca.upf
Sm 150.36 Sm.upf
Si 28.09 Si.upf
CELL_PARAMETERS angstrom
4.333 0.000 0.000
0.000 7.637 0.000
0.000 0.000 7.637
ATOMIC_POSITIONS crystal
Ca 0.000 0.000 0.000
Ca 0.000 0.500 0.500
Sm 0.500 0.178 0.678
Sm 0.500 0.678 0.822
Sm 0.500 0.822 0.322
Sm 0.500 0.322 0.178
Si 0.000 0.388 0.888
Si 0.000 0.888 0.612
Si 0.000 0.612 0.112
Si 0.000 0.112 0.388

=====

! Ca3Sm3Si4 PBE optimized geometry; values from VASP
! Final energy, eV/f.u.: -47.80
! Raw formation energy, meV per atom: -595
&SYSTEM
  ibrav = 0, nat = 10, ntyp = 3
/
ATOMIC_SPECIES
Ca 40.08 Ca.upf
Sm 150.36 Sm.upf
Si 28.09 Si.upf
CELL_PARAMETERS angstrom
-0.830 -0.628 4.212
5.399 -5.432 0.255
5.182 5.345 1.818
ATOMIC_POSITIONS crystal
Ca 0.000 0.497 0.998
Ca 0.000 0.002 0.503
Ca 0.500 0.177 0.823
Sm 0.500 0.823 0.177
Sm 0.500 0.324 0.322
Sm 0.500 0.678 0.676
Si 0.000 0.615 0.385
Si 0.000 0.394 0.606
Si 0.000 0.883 0.891
Si 0.000 0.109 0.117

=====

! CaSm2Si PBE optimized geometry; values from VASP
! Final energy, eV/f.u.: -17.65
! Raw formation energy, meV per atom: -196
&SYSTEM
  ibrav = 0, nat = 4, ntyp = 3
/
ATOMIC_SPECIES
Ca 40.08 Ca.upf
Si 28.09 Si.upf
Sm 150.36 Sm.upf
CELL_PARAMETERS angstrom
4.077 0.000 0.000
2.038 3.531 0.000
2.038 1.177 9.907
ATOMIC_POSITIONS crystal
Ca 0.500 0.500 0.500
Si 0.000 0.000 0.000
Sm 0.278 0.278 0.166
Sm 0.722 0.722 0.834

=====

! Ca4Si2Sn5 PBE optimized geometry; values from VASP
! Final energy, eV/f.u.: -43.57
! Raw formation energy, meV per atom: -428
&SYSTEM
  ibrav = 0, nat = 11, ntyp = 3
/
ATOMIC_SPECIES
Ca 40.08 Ca.upf
Si 28.09 Si.upf
Sn 118.71 Sn.upf
CELL_PARAMETERS angstrom
4.497 0.000 0.000
0.000 7.436 0.157
0.000 0.384 8.906
ATOMIC_POSITIONS crystal
Ca 0.500 0.235 0.590
Ca 0.500 0.789 0.859
Ca 0.500 0.765 0.410
Ca 0.500 0.211 0.141
Si 0.000 0.923 0.621
Si 0.000 0.077 0.379
Sn 0.000 0.441 0.341
Sn 0.000 0.867 0.136
Sn 0.000 0.500 0.000
Sn 0.000 0.133 0.864
Sn 0.000 0.559 0.659

=====

! Ca3SiSn PBE optimized geometry; values from VASP
! Final energy, eV/f.u.: -16.55
! Raw formation energy, meV per atom: -224
! Energy relative to the lowest polymorph listed for this composition, eV per atom: 0.000
&SYSTEM
  ibrav = 0, nat = 5, ntyp = 3
/
ATOMIC_SPECIES
Ca 40.08 Ca.upf
Si 28.09 Si.upf
Sn 118.71 Sn.upf
CELL_PARAMETERS angstrom
5.574 0.000 0.000
0.000 5.574 0.000
0.000 0.000 5.574
ATOMIC_POSITIONS crystal
Ca 0.000 0.500 0.000
Ca 0.000 0.000 0.500
Ca 0.500 0.000 0.000
Si 0.000 0.000 0.000
Sn 0.500 0.500 0.500